Below is an optimized crystal structure of ScAlCu6, with properties calculated at the PBE-GGA level.

Cell and atoms, written as CIF:
```
data_ScAlCu6
_cell_length_a 4.766
_cell_length_b 4.766
_cell_length_c 4.766
_cell_angle_alpha 90.00
_cell_angle_beta 90.00
_cell_angle_gamma 90.00
_space_group_name_H-M_alt 'P m -3'
_space_group_IT_number 200
_space_group_name_Hall '-P 2 2 3'
loop_
_atom_site_label
_atom_site_type_symbol
_atom_site_fract_x
_atom_site_fract_y
_atom_site_fract_z
_atom_site_occupancy
Sc1 Sc 0.000 0.000 0.000 1
Al1 Al 0.500 0.500 0.500 1
Cu1 Cu 0.000 0.254 0.500 1
```

Results
* ΔE_f: -0.1252 eV/atom
* DOS at the Fermi energy: 2.9 states/eV per cell
* theoretical density: 6.95 g/cm³